[1]
The following is a DFT calculation (PBE) of a relaxed structure of Hf7SiO16.

Calculated values
ΔE to the lowest computed polymorph   0.04 eV per formula unit

a b c (Å): 6.751 7.849 10.104
angles (deg): 91.42 91.31 93.37
Space group P-1 (No. 2)
Asymmetric unit:
Hf: 0.001 0.272 0.242
Hf: 0.005 0.722 0.265
Hf: 0.245 0.035 0.517
Hf: 0.248 0.038 0.030
Hf: 0.257 0.481 0.484
Hf: 0.257 0.495 0.972
Hf: 0.489 0.786 0.225
Si: 0.458 0.780 0.724
O: 0.032 0.911 0.899
O: 0.034 0.925 0.388
O: 0.039 0.497 0.626
O: 0.041 0.487 0.123
O: 0.161 0.248 0.411
O: 0.206 0.251 0.893
O: 0.210 0.824 0.136
O: 0.229 0.837 0.650
O: 0.288 0.674 0.354
O: 0.294 0.257 0.640
O: 0.301 0.670 0.834
O: 0.319 0.233 0.179
O: 0.451 0.995 0.878
O: 0.457 0.027 0.369
O: 0.469 0.582 0.103
O: 0.482 0.613 0.606

=====

[2]
The following is a DFT calculation (PBE) of a relaxed structure of Hf7SiO16.

Calculated values
ΔE to the lowest computed polymorph   0.00 eV per formula unit

a b c (Å): 7.299 7.318 10.088
angles (deg): 84.43 84.30 86.50
Space group P1 (No. 1)
Asymmetric unit:
Hf: 0.000 0.000 0.000
Hf: 0.001 0.020 0.490
Hf: 0.169 0.260 0.217
Hf: 0.191 0.239 0.736
Hf: 0.204 0.728 0.228
Hf: 0.223 0.707 0.708
Hf: 0.460 0.055 0.499
Hf: 0.490 0.499 0.987
Hf: 0.658 0.778 0.216
Hf: 0.675 0.757 0.724
Hf: 0.699 0.238 0.227
Hf: 0.717 0.221 0.722
Hf: 0.947 0.536 0.489
Hf: 0.968 0.549 0.986
Si: 0.492 0.055 0.985
Si: 0.510 0.538 0.477
O: 0.038 0.794 0.396
O: 0.058 0.793 0.882
O: 0.118 0.477 0.328
O: 0.132 0.994 0.168
O: 0.148 0.464 0.832
O: 0.192 0.983 0.633
O: 0.232 0.525 0.087
O: 0.248 0.109 0.388
O: 0.274 0.088 0.919
O: 0.291 0.504 0.575
O: 0.419 0.676 0.340
O: 0.429 0.672 0.828
O: 0.434 0.215 0.123
O: 0.450 0.835 0.085
O: 0.453 0.189 0.664
O: 0.483 0.777 0.576
O: 0.537 0.326 0.405
O: 0.561 0.272 0.898
O: 0.626 0.961 0.850
O: 0.627 0.989 0.334
O: 0.653 0.507 0.139
O: 0.664 0.479 0.615
O: 0.720 0.031 0.081
O: 0.725 0.612 0.389
O: 0.745 0.010 0.596
O: 0.750 0.572 0.880
O: 0.909 0.203 0.345
O: 0.930 0.735 0.130
O: 0.936 0.165 0.837
O: 0.950 0.702 0.642
O: 0.954 0.291 0.090
O: 0.982 0.284 0.598